Ce2AlOs: relaxed, PBE-GGA.

Properties
- Fermi-level density of states: 6.0 states/eV/f.u.
- Energy relative to the elements: -195 meV per atom

a b c (Å): 3.683 3.683 6.559
angles (deg): 90.00 90.00 90.00
Atoms (fractional coordinates):
Os1 0.500 0.500 0.000
Ce1 0.000 0.000 0.776
Ce2 0.000 0.000 0.224
Al1 0.500 0.500 0.500

---

CePmAlOs: relaxed, PBE-GGA.

Properties
- Fermi-level density of states: 3.9 states/eV/f.u.
- Energy relative to the elements: -110 meV per atom

a b c (Å): 5.049 5.049 5.049
angles (deg): 60.00 60.00 60.00
Each line ends with the local moment (μB).
Atoms (fractional coordinates):
Al1 0.750 0.750 0.750  0.00
Os1 0.250 0.250 0.250  -0.01
Ce1 0.000 0.000 0.000  0.17
Pm1 0.500 0.500 0.500  0.00

---

CeAl4OsPt2: relaxed, PBE-GGA.

Properties
- Fermi-level density of states: 5.1 states/eV/f.u.
- Energy relative to the elements: -769 meV per atom

a b c (Å): 4.250 4.250 9.258
angles (deg): 76.73 76.73 60.00
Each line ends with the local moment (μB).
Atoms (fractional coordinates):
Al1 0.596 0.596 0.213  0.00
Al2 0.865 0.865 0.404  0.00
Al3 0.135 0.135 0.596  0.00
Al4 0.404 0.404 0.787  0.00
Pt1 0.235 0.235 0.295  0.00
Pt2 0.765 0.765 0.705  0.00
Os1 0.500 0.500 0.500  0.02
Ce1 0.000 0.000 0.000  0.66

---

The lowest energy relative to the elements belongs to which entry?
CeAl4OsPt2